A geometry-optimized Nd4CdAg2Pt structure. Source: Alexandria via LeMat-Bulk, functional GGA-PBE.

```
data_Nd4CdAg2Pt
_cell_length_a 5.2950
_cell_length_b 5.2950
_cell_length_c 25.7954
_cell_angle_alpha 90.00
_cell_angle_beta 90.00
_cell_angle_gamma 120.00
_symmetry_space_group_name_H-M 'R -3 m'
_symmetry_Int_Tables_number 166
_symmetry_space_group_name_Hall '-R 3 2"'
loop_
_atom_site_label
_atom_site_fract_x
_atom_site_fract_y
_atom_site_fract_z
_atom_site_occupancy
Nd1 0.0000 0.0000 0.1165 1
Nd2 0.0000 0.0000 0.3684 1
Cd1 0.0000 0.0000 0.5000 1
Ag1 0.0000 0.0000 0.2398 1
Pt1 0.0000 0.0000 0.0000 1
```

## Properties
E_tot, eV per cell: -106.98
Calculated density, Mg/m³: 8.75